Density functional theory data (GGA-PBEsol) for a relaxed KMo2Se crystal.

Cell and atoms, written as POSCAR:
```
KMo2Se
1.0
3.1727 0.0000 0.0000
0.0000 3.1727 0.0000
0.0000 0.0000 8.6271
Mo Se K
2 1 1
Direct
0.0000 0.0000 0.8517 Mo
0.0000 0.0000 0.1483 Mo
0.5000 0.5000 0.0000 Se
0.5000 0.5000 0.5000 K
```

Output
SG = P4/mmm
Raw formation energy = 0.8741 eV per atom
Crystal system = tetragonal
E above lowest polymorph = 85.1 meV per atom